VASP calculation (PBE) on a geometry-optimized Tc5Mo structure.

```
Tc5Mo
1.0
4.376 0.000 0.000
0.000 13.448 0.000
0.000 0.000 3.050
Tc Mo
10 2
Direct
0.000 0.000 0.000
0.000 0.180 0.500
0.000 0.346 0.000
0.000 0.654 0.000
0.000 0.820 0.500
0.500 0.154 0.000
0.500 0.320 0.500
0.500 0.500 0.000
0.500 0.680 0.500
0.500 0.846 0.000
0.000 0.500 0.500
0.500 0.000 0.500
```

Values from the calculation:
Mass density = 10841 kg/m³
D(E_F) = 0.928 states/eV/atom
ΔH_f (0 K) = 3.43 kcal/mol of atoms
SG = Cmmm (65)
Crystal system = orthorhombic
M_tot = 0.00 μB/cell

VASP calculation (PBE) on a geometry-optimized SeClF3 structure.

```
SeClF3
1.0
4.203 0.000 0.000
0.000 4.203 0.000
0.000 0.000 4.203
Se Cl F
1 1 3
Direct
0.000 0.000 0.000
0.500 0.500 0.500
0.000 0.000 0.500
0.000 0.500 0.000
0.500 0.000 0.000
```

Values from the calculation:
Mass density = 3833 kg/m³
D(E_F) = 1.509 states/eV/atom
SG = Pm-3m (221)
Crystal system = cubic
M_tot = 0.57 μB/cell
Formation energy from raw total energies = -3.13 eV per formula unit

VASP calculation (PBE) on a geometry-optimized BaMg2Al2 structure.

```
BaMg2Al2
1.0
8.872 0.000 0.000
0.000 8.872 0.000
0.000 0.000 3.138
Ba Mg Al
2 4 4
Direct
0.000 0.000 0.000
0.500 0.500 0.000
0.125 0.375 0.000
0.375 0.875 0.000
0.625 0.125 0.000
0.875 0.625 0.000
0.164 0.664 0.500
0.336 0.164 0.500
0.664 0.836 0.500
0.836 0.336 0.500
```

Values from the calculation:
Mass density = 3225 kg/m³
D(E_F) = 0.501 states/eV/atom
ΔH_f (0 K) = -0.38 kcal/mol of atoms
SG = P4/mbm (127)
Crystal system = tetragonal
M_tot = 0.00 μB/cell

VASP calculation (PBE) on a geometry-optimized Be2SnPt2 structure.

```
Be2SnPt2
1.0
7.109 0.000 0.000
0.000 7.109 0.000
0.000 0.000 2.849
Be Sn Pt
4 2 4
Direct
0.140 0.360 0.000
0.360 0.860 0.000
0.640 0.140 0.000
0.860 0.640 0.000
0.000 0.000 0.500
0.500 0.500 0.500
0.146 0.646 0.500
0.354 0.146 0.500
0.646 0.854 0.500
0.854 0.354 0.500
```

Values from the calculation:
Mass density = 12154 kg/m³
D(E_F) = 0.548 states/eV/atom
ΔH_f (0 K) = -8.89 kcal/mol of atoms
SG = P4/mbm (127)
Crystal system = tetragonal
M_tot = 0.00 μB/cell